Computed, not measured: La6FeCo2Br3 after structural relaxation at the PBE level of DFT.

As for the formation energy from raw total energies: -9.12 eV per formula unit.

The structure belongs to space group C2/m (No. 12); the cell edges are 7.010, 12.143 and 8.258 Å and the angles 90.00°, 106.42° and 90.00°. The distinct sites, in fractional coordinates, are La at (0.229, 0.165, 0.192), La at (0.235, 0.500, 0.192), Fe at (0.000, 0.000, 0.000), Co at (0.000, 0.333, 0.000), Br at (0.000, 0.166, 0.500) and Br at (0.000, 0.500, 0.500).